{
  "formula": "GaAgPO",
  "functional": "GGA-PBE",
  "state": "relaxed",
  "cell": [[3.904, 0.000, 0.000], [0.000, 6.758, 0.000], [0.000, 0.000, 5.247]],
  "species": ["Ga", "Ga", "Ag", "Ag", "P", "P", "O", "O"],
  "fractional_positions": [[0.000, 0.155, 0.000], [0.000, 0.845, 0.500], [0.500, 0.300, 0.434], [0.500, 0.700, 0.934], [0.500, 0.340, 0.915], [0.500, 0.660, 0.415], [0.000, 0.097, 0.355], [0.000, 0.903, 0.855]],
  "e_above_lowest_polymorph_ev_per_atom": 0.0320,
  "dft_energy_ev_per_atom": -4.58
}

{
  "formula": "PrGaAg2O4",
  "functional": "GGA-PBE",
  "state": "relaxed",
  "cell": [[3.370, 0.000, 0.000], [-1.685, 2.919, 0.000], [0.000, 0.000, 12.645]],
  "species": ["Pr", "Ga", "Ag", "Ag", "O", "O", "O", "O"],
  "fractional_positions": [[0.000, 0.000, 0.000], [0.000, 0.000, 0.500], [0.333, 0.667, 0.736], [0.667, 0.333, 0.264], [0.333, 0.667, 0.570], [0.333, 0.667, 0.899], [0.667, 0.333, 0.101], [0.667, 0.333, 0.430]],
  "magmom_total_mub_per_fu": 0.00,
  "dft_energy_ev_per_atom": -5.61
}

{
  "formula": "PrGaAg2O4",
  "functional": "GGA-PBE",
  "state": "relaxed",
  "cell": [[3.370, 0.000, 0.000], [-1.685, 2.919, 0.000], [0.000, 0.000, 12.645]],
  "species": ["Pr", "Ga", "Ag", "Ag", "O", "O", "O", "O"],
  "fractional_positions": [[0.000, 0.000, 0.000], [0.000, 0.000, 0.500], [0.333, 0.667, 0.736], [0.667, 0.333, 0.264], [0.333, 0.667, 0.570], [0.333, 0.667, 0.899], [0.667, 0.333, 0.101], [0.667, 0.333, 0.430]],
  "magmom_total_mub_per_fu": 0.00,
  "dft_energy_ev_per_atom": -5.61
}

{
  "formula": "GaAgSO",
  "functional": "GGA-PBE",
  "state": "relaxed",
  "cell": [[7.212, 0.000, 0.000], [0.000, 7.079, 0.000], [-1.828, 0.000, 5.210]],
  "species": ["Ga", "Ga", "Ga", "Ga", "Ag", "Ag", "Ag", "Ag", "S", "S", "S", "S", "O", "O", "O", "O"],
  "fractional_positions": [[0.005, 0.096, 0.262], [0.005, 0.404, 0.762], [0.995, 0.596, 0.238], [0.995, 0.904, 0.738], [0.490, 0.737, 0.336], [0.490, 0.763, 0.836], [0.510, 0.237, 0.164], [0.510, 0.263, 0.664], [0.273, 0.510, 0.625], [0.273, 0.990, 0.125], [0.727, 0.010, 0.875], [0.727, 0.490, 0.375], [0.013, 0.162, 0.598], [0.013, 0.338, 0.098], [0.987, 0.662, 0.902], [0.987, 0.838, 0.402]],
  "e_above_lowest_polymorph_ev_per_atom": 0.0705,
  "dft_energy_ev_per_atom": -4.53
}

{
  "formula": "GaAgSO",
  "functional": "GGA-PBE",
  "state": "relaxed",
  "cell": [[5.853, 0.000, 0.000], [0.000, 5.407, 0.000], [-1.513, 0.000, 9.264]],
  "species": ["Ga", "Ga", "Ga", "Ga", "Ag", "Ag", "Ag", "Ag", "S", "S", "S", "S", "O", "O", "O", "O"],
  "fractional_positions": [[0.059, 0.000, 0.395], [0.439, 0.832, 0.602], [0.561, 0.332, 0.398], [0.941, 0.500, 0.605], [0.013, 0.792, 0.930], [0.486, 0.104, 0.057], [0.514, 0.604, 0.943], [0.987, 0.292, 0.070], [0.117, 0.391, 0.822], [0.388, 0.481, 0.188], [0.612, 0.981, 0.812], [0.883, 0.891, 0.178], [0.125, 0.742, 0.537], [0.375, 0.083, 0.456], [0.625, 0.583, 0.544], [0.875, 0.242, 0.463]],
  "e_above_lowest_polymorph_ev_per_atom": 0.0000,
  "dft_energy_ev_per_atom": -4.60
}

{
  "formula": "GaAgSO",
  "functional": "GGA-PBE",
  "state": "relaxed",
  "cell": [[3.741, 0.000, 0.000], [0.000, 3.741, 0.000], [0.000, 0.000, 8.767]],
  "species": ["Ga", "Ga", "Ag", "Ag", "S", "S", "O", "O"],
  "fractional_positions": [[0.250, 0.250, 0.097], [0.750, 0.750, 0.903], [0.250, 0.750, 0.500], [0.750, 0.250, 0.500], [0.250, 0.250, 0.715], [0.750, 0.750, 0.285], [0.250, 0.750, 0.000], [0.750, 0.250, 0.000]],
  "e_above_lowest_polymorph_ev_per_atom": 0.4266,
  "dft_energy_ev_per_atom": -4.18
}

{
  "formula": "GaAgSO",
  "functional": "GGA-PBE",
  "state": "relaxed",
  "cell": [[3.624, 0.000, 0.000], [0.000, 6.940, 0.000], [0.000, 0.000, 5.624]],
  "species": ["Ga", "Ga", "Ag", "Ag", "S", "S", "O", "O"],
  "fractional_positions": [[0.000, 0.128, 0.000], [0.000, 0.872, 0.500], [0.500, 0.317, 0.547], [0.500, 0.683, 0.047], [0.500, 0.315, 0.096], [0.500, 0.685, 0.596], [0.000, 0.100, 0.671], [0.000, 0.900, 0.171]],
  "e_above_lowest_polymorph_ev_per_atom": 0.0318,
  "dft_energy_ev_per_atom": -4.57
}

{
  "formula": "GaAgSO",
  "functional": "GGA-PBE",
  "state": "relaxed",
  "cell": [[6.471, 0.000, 0.000], [0.000, 7.369, 0.000], [0.000, 0.000, 5.986]],
  "species": ["Ga", "Ga", "Ga", "Ga", "Ag", "Ag", "Ag", "Ag", "S", "S", "S", "S", "O", "O", "O", "O"],
  "fractional_positions": [[0.082, 0.144, 0.000], [0.418, 0.144, 0.500], [0.582, 0.856, 0.000], [0.918, 0.856, 0.500], [0.185, 0.602, 0.909], [0.315, 0.602, 0.409], [0.685, 0.398, 0.909], [0.815, 0.398, 0.409], [0.070, 0.129, 0.607], [0.430, 0.129, 0.107], [0.570, 0.871, 0.607], [0.930, 0.871, 0.107], [0.009, 0.638, 0.584], [0.491, 0.638, 0.084], [0.509, 0.362, 0.584], [0.991, 0.362, 0.084]],
  "e_above_lowest_polymorph_ev_per_atom": 0.2508,
  "dft_energy_ev_per_atom": -4.35
}

{
  "formula": "TbGaAg2O4",
  "functional": "GGA-PBE",
  "state": "relaxed",
  "cell": [[3.253, 0.000, 0.000], [-1.627, 2.818, 0.000], [0.000, 0.000, 12.580]],
  "species": ["Tb", "Ga", "Ag", "Ag", "O", "O", "O", "O"],
  "fractional_positions": [[0.000, 0.000, 0.000], [0.000, 0.000, 0.500], [0.333, 0.667, 0.740], [0.667, 0.333, 0.260], [0.333, 0.667, 0.573], [0.333, 0.667, 0.905], [0.667, 0.333, 0.095], [0.667, 0.333, 0.427]],
  "magmom_total_mub_per_fu": 0.00,
  "dft_energy_ev_per_atom": -5.76
}

{
  "formula": "GaAgOs2",
  "functional": "GGA-PBE",
  "state": "relaxed",
  "cell": [[0.000, 3.122, 3.122], [3.122, 0.000, 3.122], [3.122, 3.122, 0.000]],
  "species": ["Ga", "Ag", "Os", "Os"],
  "fractional_positions": [[0.000, 0.000, 0.000], [0.250, 0.250, 0.250], [0.500, 0.500, 0.500], [0.750, 0.750, 0.750]],
  "magmom_total_mub_per_fu": 0.03,
  "dft_energy_ev_per_atom": -6.51
}

{
  "formula": "GaAgPd",
  "functional": "GGA-PBE",
  "state": "relaxed",
  "cell": [[0.000, 3.074, 3.074], [3.074, 0.000, 3.074], [3.074, 3.074, 0.000]],
  "species": ["Ga", "Ag", "Pd"],
  "fractional_positions": [[0.000, 0.000, 0.000], [0.500, 0.500, 0.500], [0.750, 0.750, 0.750]],
  "e_above_lowest_polymorph_ev_per_atom": 0.0000,
  "dft_energy_ev_per_atom": -3.80
}

{
  "formula": "GaAg2Pd",
  "functional": "GGA-PBE",
  "state": "relaxed",
  "cell": [[0.000, 3.211, 3.211], [3.211, 0.000, 3.211], [3.211, 3.211, 0.000]],
  "species": ["Ga", "Ag", "Ag", "Pd"],
  "fractional_positions": [[0.000, 0.000, 0.000], [0.500, 0.500, 0.500], [0.750, 0.750, 0.750], [0.250, 0.250, 0.250]],
  "dft_energy_ev_per_atom": -3.64
}

{
  "formula": "Ga2Ag8Pd",
  "functional": "GGA-PBE",
  "state": "relaxed",
  "cell": [[5.440, -4.445, 0.000], [5.440, 4.445, 0.000], [-2.369, 0.000, 4.684]],
  "species": ["Ga", "Ga", "Ag", "Ag", "Ag", "Ag", "Ag", "Ag", "Ag", "Ag", "Pd"],
  "fractional_positions": [[0.239, 0.239, 0.324], [0.761, 0.761, 0.676], [0.049, 0.049, 0.800], [0.089, 0.631, 0.443], [0.351, 0.351, 0.901], [0.369, 0.911, 0.557], [0.631, 0.089, 0.443], [0.649, 0.649, 0.099], [0.911, 0.369, 0.557], [0.951, 0.951, 0.200], [0.500, 0.500, 0.500]],
  "dft_energy_ev_per_atom": -2.98
}

{
  "formula": "PrGa2AgPd",
  "functional": "GGA-PBE",
  "state": "relaxed",
  "cell": [[4.393, 0.000, 0.000], [0.000, 4.393, 0.000], [0.000, 0.000, 10.620]],
  "species": ["Pr", "Pr", "Ga", "Ga", "Ga", "Ga", "Ag", "Ag", "Pd", "Pd"],
  "fractional_positions": [[0.250, 0.250, 0.241], [0.750, 0.750, 0.759], [0.250, 0.250, 0.882], [0.250, 0.750, 0.500], [0.750, 0.250, 0.500], [0.750, 0.750, 0.118], [0.250, 0.250, 0.640], [0.750, 0.750, 0.360], [0.250, 0.750, 0.000], [0.750, 0.250, 0.000]],
  "magmom_total_mub_per_fu": 0.01,
  "dft_energy_ev_per_atom": -4.33
}

{
  "formula": "ScGaAgPd",
  "functional": "GGA-PBE",
  "state": "relaxed",
  "cell": [[0.000, 3.255, 3.255], [3.255, 0.000, 3.255], [3.255, 3.255, 0.000]],
  "species": ["Sc", "Ga", "Ag", "Pd"],
  "fractional_positions": [[0.000, 0.000, 0.000], [0.750, 0.750, 0.750], [0.250, 0.250, 0.250], [0.500, 0.500, 0.500]],
  "magmom_total_mub_per_fu": 0.01,
  "e_above_lowest_polymorph_ev_per_atom": 0.0691,
  "dft_energy_ev_per_atom": -4.84
}

{
  "formula": "ScGaAgPd",
  "functional": "GGA-PBE",
  "state": "relaxed",
  "cell": [[0.000, 3.269, 3.269], [3.269, 0.000, 3.269], [3.269, 3.269, 0.000]],
  "species": ["Sc", "Ga", "Ag", "Pd"],
  "fractional_positions": [[0.000, 0.000, 0.000], [0.250, 0.250, 0.250], [0.500, 0.500, 0.500], [0.750, 0.750, 0.750]],
  "magmom_total_mub_per_fu": 0.01,
  "e_above_lowest_polymorph_ev_per_atom": 0.0836,
  "dft_energy_ev_per_atom": -4.82
}

{
  "formula": "Sc2Ga4AgPd",
  "functional": "GGA-PBE",
  "state": "relaxed",
  "cell": [[6.514, 0.000, 0.000], [0.000, 2.147, 4.995], [0.000, -2.147, 4.995]],
  "species": ["Sc", "Sc", "Ga", "Ga", "Ga", "Ga", "Ag", "Pd"],
  "fractional_positions": [[0.000, 0.000, 0.000], [0.500, 0.161, 0.161], [0.198, 0.704, 0.704], [0.293, 0.455, 0.455], [0.707, 0.455, 0.455], [0.802, 0.704, 0.704], [0.500, 0.876, 0.876], [0.000, 0.284, 0.284]],
  "magmom_total_mub_per_fu": 0.00,
  "dft_energy_ev_per_atom": -4.66
}

{
  "formula": "ScGaAgPd",
  "functional": "GGA-PBE",
  "state": "relaxed",
  "cell": [[0.000, 3.249, 3.249], [3.249, 0.000, 3.249], [3.249, 3.249, 0.000]],
  "species": ["Sc", "Ga", "Ag", "Pd"],
  "fractional_positions": [[0.000, 0.000, 0.000], [0.500, 0.500, 0.500], [0.250, 0.250, 0.250], [0.750, 0.750, 0.750]],
  "magmom_total_mub_per_fu": 0.00,
  "e_above_lowest_polymorph_ev_per_atom": 0.0000,
  "dft_energy_ev_per_atom": -4.91
}

{
  "formula": "SrGa2AgPd",
  "functional": "GGA-PBE",
  "state": "relaxed",
  "cell": [[4.505, 0.000, 0.000], [0.000, 4.505, 0.000], [0.000, 0.000, 10.666]],
  "species": ["Sr", "Sr", "Ga", "Ga", "Ga", "Ga", "Ag", "Ag", "Pd", "Pd"],
  "fractional_positions": [[0.250, 0.250, 0.241], [0.750, 0.750, 0.759], [0.250, 0.250, 0.890], [0.250, 0.750, 0.500], [0.750, 0.250, 0.500], [0.750, 0.750, 0.110], [0.250, 0.250, 0.641], [0.750, 0.750, 0.359], [0.250, 0.750, 0.000], [0.750, 0.250, 0.000]],
  "dft_energy_ev_per_atom": -3.66
}

{
  "formula": "Tb2TmGa3AgPd2",
  "functional": "GGA-PBE",
  "state": "relaxed",
  "cell": [[3.713, 0.000, 0.000], [0.000, 6.511, 3.773], [0.000, -6.511, 3.773]],
  "species": ["Tb", "Tb", "Tm", "Ga", "Ga", "Ga", "Ag", "Pd", "Pd"],
  "fractional_positions": [[0.000, 0.204, 0.796], [0.000, 0.796, 0.204], [0.000, 0.612, 0.612], [0.500, 0.206, 0.475], [0.500, 0.475, 0.206], [0.500, 0.933, 0.933], [0.000, 0.206, 0.206], [0.500, 0.539, 0.868], [0.500, 0.868, 0.539]],
  "magmom_total_mub_per_fu": 0.03,
  "dft_energy_ev_per_atom": -4.75
}